[1]
Computed, not measured: a relaxed structure of Y3MgSn at the GGA-PBE level of DFT.

Cell: 5.7312 5.7312 5.7312 Å, 90.00 90.00 90.00°
Each line ends with the local moment (μB).
Atoms (fractional coordinates):
Y: 0.0000 0.5000 0.0000  0.15
Y: 0.0000 0.0000 0.5000  0.14
Y: 0.5000 0.0000 0.0000  0.14
Mg: 0.5000 0.5000 0.5000  0.02
Sn: 0.0000 0.0000 0.0000  -0.01

Output
**Final energy**: -4.823 eV/atom
**Theoretical density**: 3.61 g/cm³
**Polymorph energy (0 for the lowest one)**: 0.0000 eV per atom
**Magnetic moment**: 1.27 μB per cell

[2]
Computed, not measured: a relaxed structure of CsK2TlSn at the GGA-PBE level of DFT.

Cell: 6.8052 6.8052 5.8838 Å, 90.00 90.00 90.00°
Atoms (fractional coordinates):
Cs: 0.5000 0.5000 0.5000
Tl: 0.0000 0.0000 0.0000
K: 0.0000 0.5000 0.0000
K: 0.5000 0.0000 0.0000
Sn: 0.0000 0.0000 0.5000

Output
**Final energy**: -1.880 eV/atom
**Theoretical density**: 3.26 g/cm³
**Polymorph energy (0 for the lowest one)**: 0.0244 eV per atom
**Magnetic moment**: 0.36 μB per cell

[3]
Computed, not measured: a relaxed structure of CsPr2CuS4 at the GGA-PBE level of DFT.

Cell: 4.1492 7.5628 14.2259 Å, 90.00 90.00 105.92°
Atoms (fractional coordinates):
Cs: 0.1039 0.2078 0.7500
Cs: 0.8961 0.7922 0.2500
Pr: 0.3656 0.7312 0.5602
Pr: 0.6344 0.2688 0.0602
Pr: 0.6344 0.2688 0.4398
Pr: 0.3656 0.7312 0.9398
Cu: 0.8328 0.6656 0.7500
Cu: 0.1672 0.3344 0.2500
S: 0.2566 0.5133 0.1107
S: 0.7434 0.4867 0.6107
S: 0.7434 0.4867 0.8893
S: 0.2566 0.5133 0.3893
S: 0.0000 0.0000 0.5000
S: 0.0000 0.0000 0.0000
S: 0.4169 0.8338 0.7500
S: 0.5831 0.1662 0.2500

Output
**Final energy**: -5.492 eV/atom
**Theoretical density**: 4.69 g/cm³
**Magnetic moment**: 0.00 μB per cell

[4]
Computed, not measured: a relaxed structure of VFeCo2H at the GGA-PBE level of DFT.

Cell: 3.5311 3.5311 3.6345 Å, 90.00 90.00 90.00°
Each line ends with the local moment (μB).
Atoms (fractional coordinates):
H: 0.0000 0.0000 0.0000  0.00
Co: 0.0000 0.5000 0.0000  0.03
Co: 0.5000 0.0000 0.0000  0.03
Fe: 0.0000 0.0000 0.5000  0.17
V: 0.5000 0.5000 0.5000  -0.09

Output
**Final energy**: -7.145 eV/atom
**Theoretical density**: 8.27 g/cm³
**Polymorph energy (0 for the lowest one)**: 0.0000 eV per atom
**Magnetic moment**: 0.13 μB per cell